First-principles (GGA-PBE) data for LiNd2Tl2 after structural relaxation, as listed in Alexandria.

The value obtained for the calculated total energy is -3.51 eV per atom. The calculation puts the energy above the most stable polymorph in this dataset at 0.0 meV/atom. As for the formation energy: -278 meV per atom.

CIF file:
```
data_LiNd2Tl2
_chemical_formula_sum 'Li2 Nd4 Tl4'
_symmetry_space_group_name_H-M 'I m m m'
_symmetry_Int_Tables_number 71
_symmetry_space_group_name_Hall '-I 2 2'
_cell_length_a 3.9086
_cell_length_b 6.9858
_cell_length_c 10.2063
_cell_angle_alpha 90.00
_cell_angle_beta 90.00
_cell_angle_gamma 90.00
loop_
_atom_site_label
_atom_site_type_symbol
_atom_site_fract_x
_atom_site_fract_y
_atom_site_fract_z
Li1 Li 0.0000 0.0000 0.0000
Nd1 Nd 0.0000 0.5000 0.2221
Tl1 Tl 0.0000 0.2282 0.5000
```